PBE NdPPbO, optimized geometry; SG = No. 129; magnetization = 0.0 μB per cell; polymorph energy (0 for the lowest one) = 237 meV per atom
1.0
5.595 0.000 0.000
0.000 5.595 0.000
0.000 0.000 5.537
Nd P Pb O
2 2 2 2
Direct
0.250 0.750 0.000
0.750 0.250 0.000
0.250 0.250 0.009
0.750 0.750 0.991
0.250 0.250 0.506
0.750 0.750 0.494
0.250 0.750 0.500
0.750 0.250 0.500

=====

PBE SnSbW, optimized geometry; SG = No. 216; magnetization = 0.6 μB per cell; polymorph energy (0 for the lowest one) = 545 meV per atom
1.0
0.000 3.334 3.334
3.334 0.000 3.334
3.334 3.334 0.000
Sn Sb W
1 1 1
Direct
0.000 0.000 0.000
0.750 0.750 0.750
0.500 0.500 0.500

=====

PBE K2CuI6, optimized geometry; SG = No. 139; calculated total energy = -20.3 eV per cell
1.0
-3.901 3.901 5.511
3.901 -3.901 5.511
3.901 3.901 -5.511
K Cu I
2 1 6
Direct
0.250 0.750 0.500
0.750 0.250 0.500
0.000 0.000 0.000
0.246 0.246 0.000
0.246 0.246 0.492
0.246 0.754 0.000
0.754 0.246 0.000
0.754 0.754 0.000
0.754 0.754 0.508

=====

PBE PrNdAs2Pd2, optimized geometry; SG = No. 164; calculated total energy = -36.3 eV per cell; magnetization = 0.0 μB per cell
1.0
4.374 0.000 0.000
-2.187 3.788 0.000
0.000 0.000 7.934
Pr Nd As Pd
1 1 2 2
Direct
0.000 0.000 0.000
0.000 0.000 0.500
0.333 0.667 0.750
0.667 0.333 0.250
0.333 0.667 0.250
0.667 0.333 0.750

=====

PBE TePPtO, optimized geometry; SG = No. 129; magnetization = 0.0 μB per cell; polymorph energy (0 for the lowest one) = 465 meV per atom
1.0
4.444 0.000 0.000
0.000 4.444 0.000
0.000 0.000 8.845
Te P Pt O
2 2 2 2
Direct
0.250 0.750 0.000
0.750 0.250 0.000
0.250 0.250 0.206
0.750 0.750 0.794
0.250 0.250 0.452
0.750 0.750 0.548
0.250 0.750 0.500
0.750 0.250 0.500

=====

PBE Pt15Pb, optimized geometry; SG = No. 13; magnetization = 0.2 μB per cell; polymorph energy (0 for the lowest one) = 21 meV per atom
1.0
4.825 0.000 0.000
0.000 36.508 0.000
-1.624 0.000 4.544
Pt Pb
30 2
Direct
0.000 0.019 0.250
0.000 0.058 0.750
0.000 0.096 0.250
0.000 0.135 0.750
0.000 0.174 0.250
0.000 0.212 0.750
0.000 0.253 0.250
0.000 0.287 0.750
0.000 0.713 0.250
0.000 0.747 0.750
0.000 0.788 0.250
0.000 0.826 0.750
0.000 0.865 0.250
0.000 0.904 0.750
0.000 0.942 0.250
0.000 0.981 0.750
0.500 0.019 0.750
0.500 0.058 0.250
0.500 0.096 0.750
0.500 0.135 0.250
0.500 0.174 0.750
0.500 0.212 0.250
0.500 0.253 0.750
0.500 0.747 0.250
0.500 0.788 0.750
0.500 0.826 0.250
0.500 0.865 0.750
0.500 0.904 0.250
0.500 0.942 0.750
0.500 0.981 0.250
0.500 0.304 0.250
0.500 0.696 0.750

=====

PBE GdErGa2Pd4, optimized geometry; SG = No. 187; magnetization = 0.0 μB per cell; polymorph energy (0 for the lowest one) = 0 meV per atom
1.0
4.401 0.000 0.000
-2.200 3.811 0.000
0.000 0.000 9.054
Gd Er Ga Pd
1 1 2 4
Direct
0.000 0.000 0.000
0.333 0.667 0.500
0.667 0.333 0.252
0.667 0.333 0.748
0.000 0.000 0.334
0.000 0.000 0.666
0.333 0.667 0.173
0.333 0.667 0.827

=====

PBE P2Au, optimized geometry; SG = No. 227; calculated total energy = -23.6 eV per cell
1.0
0.000 3.682 3.682
3.682 0.000 3.682
3.682 3.682 0.000
P Au
4 2
Direct
0.000 0.000 0.000
0.000 0.000 0.500
0.000 0.500 0.000
0.500 0.000 0.000
0.375 0.375 0.375
0.625 0.625 0.625

=====

PBE HoTaN2O, optimized geometry; SG = No. 1; calculated total energy = -95.2 eV per cell; magnetization = 0.0 μB per cell
1.0
5.423 0.000 0.000
-2.683 4.803 0.000
-2.608 -1.654 4.990
Ho Ta N O
2 2 4 2
Direct
0.000 0.000 0.000
0.453 0.724 0.186
0.050 0.547 0.535
0.453 0.225 0.652
0.212 0.387 0.366
0.494 0.918 0.820
0.913 0.558 0.830
0.961 0.792 0.339
0.285 0.328 0.850
0.570 0.155 0.361

=====

PBE Pa2Os, optimized geometry; SG = No. 227; magnetization = 4.0 μB per cell; formation energy = 1819 meV/atom
1.0
0.000 5.952 5.952
5.952 0.000 5.952
5.952 5.952 0.000
Pa Os
4 2
Direct
0.000 0.000 0.000
0.000 0.000 0.500
0.000 0.500 0.000
0.500 0.000 0.000
0.125 0.125 0.125
0.875 0.875 0.875

=====

PBE TmGaPd, optimized geometry; SG = No. 216; calculated total energy = -14.7 eV per cell; magnetization = 0.2 μB per cell
1.0
0.000 3.207 3.207
3.207 0.000 3.207
3.207 3.207 0.000
Tm Ga Pd
1 1 1
Direct
0.000 0.000 0.000
0.500 0.500 0.500
0.750 0.750 0.750

=====

PBE BaOsW, optimized geometry; SG = No. 216; magnetization = 0.0 μB per cell; polymorph energy (0 for the lowest one) = 0 meV per atom
1.0
0.000 3.277 3.277
3.277 0.000 3.277
3.277 3.277 0.000
Ba Os W
1 1 1
Direct
0.000 0.000 0.000
0.500 0.500 0.500
0.250 0.250 0.250